Entry 1:
CaCd5 GGA-PBEsol relaxed; DFT formation energy = -0.1716 eV per atom; uncorrected energy = -1.525 eV per atom
1.0
2.254 -6.460 0.000
2.254 6.460 0.000
0.000 0.000 4.608
Ca Cd
1 5
direct
0.000 0.000 0.000 Ca
0.169 0.831 0.500 Cd
0.324 0.676 0.000 Cd
0.500 0.500 0.500 Cd
0.676 0.324 0.000 Cd
0.831 0.169 0.500 Cd

---

Entry 2:
CsLaCd2S GGA-PBEsol relaxed; uncorrected formation energy = 290 meV/atom; uncorrected energy = -2.323 eV per atom
1.0
5.168 0.000 0.000
0.000 5.168 0.000
0.000 0.000 6.030
Cs La Cd S
1 1 2 1
direct
0.000 0.000 0.000 Cs
0.500 0.500 0.000 La
0.000 0.500 0.500 Cd
0.500 0.000 0.500 Cd
0.000 0.000 0.500 S